(1)
ScAlAsSe2 | PBE | optimized geometry

- Total magnetic moment: 0.000 μB/atom
- E: -22.23 eV per cell
- Crystal system: tetragonal
- Excess energy over the best structure of this formula in the dataset: 113.9 meV/atom
- Formation energy (no corrections): -108 meV per atom

abc: 5.1361 5.1361 5.2024
angles: 90.00 90.00 90.00
With the nearest neighbours (Å) after each atom.
Element x y z (fractional)
Sc  0.0000  0.0000  0.0000  4 Se 2.57, 2 As 2.60
Al  0.5000  0.5000  0.5000  4 As 3.63, 8 Se 3.66
As  0.0000  0.0000  0.5000  2 Sc 2.60
Se  0.0000  0.5000  0.0000  2 Sc 2.57
Se  0.5000  0.0000  0.0000  2 Sc 2.57

(2)
Be2Nb2Co5Ru | PBE | optimized geometry

- Total magnetic moment: 0.120 μB/atom
- E: -147.58 eV per cell
- Crystal system: tetragonal
- Formation energy: -139 meV per atom

abc: 8.3067 8.3067 3.3773
angles: 90.00 90.00 90.00
With the nearest neighbours (Å) after each atom.
Element x y z (fractional)
Be  0.1109  0.3891  0.0000  6 Co 2.13-2.25
Be  0.3891  0.8891  0.0000  6 Co 2.13-2.25
Be  0.6109  0.1109  0.0000  6 Co 2.13-2.25
Be  0.8891  0.6109  0.0000  6 Co 2.13-2.25
Nb  0.1832  0.6832  0.0000  3 Be 2.42-2.52, 4 Co 2.67
Nb  0.3168  0.1832  0.0000  3 Be 2.42-2.52, 4 Co 2.67
Nb  0.6832  0.8168  0.0000  3 Be 2.42-2.52, 4 Co 2.67
Nb  0.8168  0.3168  0.0000  3 Be 2.42-2.52, 4 Co 2.67
Co  0.0000  0.5000  0.5000  4 Be 2.13
Co  0.0693  0.2141  0.5000  2 Be 2.25, 1 Co 2.44, 2 Ru 2.52
Co  0.2141  0.9307  0.5000  2 Be 2.25, 1 Co 2.44, 2 Ru 2.52
Co  0.2859  0.4307  0.5000  2 Be 2.25, 1 Co 2.44, 2 Ru 2.52
Co  0.4307  0.7141  0.5000  2 Be 2.25, 1 Co 2.44, 2 Ru 2.52
Co  0.5000  0.0000  0.5000  4 Be 2.13
Co  0.5693  0.2859  0.5000  2 Be 2.25, 1 Co 2.44, 2 Ru 2.52
Co  0.7141  0.5693  0.5000  2 Be 2.25, 1 Co 2.44, 2 Ru 2.52
Co  0.7859  0.0693  0.5000  2 Be 2.25, 1 Co 2.44, 2 Ru 2.52
Co  0.9307  0.7859  0.5000  2 Be 2.25, 1 Co 2.44, 2 Ru 2.52
Ru  0.0000  0.0000  0.0000  8 Co 2.52
Ru  0.5000  0.5000  0.0000  8 Co 2.52

(3)
MnFeP2Cl | PBE | optimized geometry

- Total magnetic moment: 0.277 μB/atom
- E: -27.07 eV per cell
- Crystal system: tetragonal
- Excess energy over the best structure of this formula in the dataset: 0.0 meV/atom
- Formation energy (no corrections): 645 meV per atom

abc: 4.4022 4.4022 4.7860
angles: 90.00 90.00 90.00
With the nearest neighbours (Å) after each atom.
Element x y z (fractional)
Mn  0.0000  0.0000  0.0000  4 P 2.20, 2 Cl 2.39
Fe  0.5000  0.5000  0.5000  4 Cl 3.11, 8 P 3.25
P  0.0000  0.5000  0.0000  2 Mn 2.20
P  0.5000  0.0000  0.0000  2 Mn 2.20
Cl  0.0000  0.0000  0.5000  2 Mn 2.39

(4)
AlZn2Se | PBE | optimized geometry

- Total magnetic moment: 0.000 μB/atom
- E: -9.40 eV per cell
- Crystal system: orthorhombic
- Excess energy over the best structure of this formula in the dataset: 234.9 meV/atom
- Formation energy (no corrections): 93 meV per atom

abc: 3.5307 4.3090 4.8154
angles: 90.00 90.00 90.00
With the nearest neighbours (Å) after each atom.
Element x y z (fractional)
Al  0.0000  0.0000  0.0000  4 Se 2.79, 4 Zn 2.99
Zn  0.0000  0.5000  0.5000  4 Zn 2.79, 4 Se 2.99
Zn  0.5000  0.0000  0.5000  4 Zn 2.79, 4 Al 2.99
Se  0.5000  0.5000  0.0000  4 Al 2.79, 4 Zn 2.99

(5)
SiSnMo | PBE | optimized geometry

- Total magnetic moment: 0.000 μB/atom
- E: -38.32 eV per cell
- Crystal system: tetragonal
- Formation energy (no corrections): 366 meV per atom

abc: 3.7538 3.7538 7.8556
angles: 90.00 90.00 90.00
With the nearest neighbours (Å) after each atom.
Element x y z (fractional)
Si  0.2500  0.2500  0.0997  5 Mo 2.56-2.83
Si  0.7500  0.7500  0.9003  5 Mo 2.56-2.83
Sn  0.2500  0.7500  0.5000  4 Sn 2.65, 4 Mo 2.85
Sn  0.7500  0.2500  0.5000  4 Sn 2.65, 4 Mo 2.85
Mo  0.2500  0.2500  0.7737  5 Si 2.56-2.83, 4 Sn 2.85
Mo  0.7500  0.7500  0.2263  5 Si 2.56-2.83, 4 Sn 2.85

(6)
AcDy2Y | PBE | optimized geometry

- Total magnetic moment: 0.000 μB/atom
- E: -19.52 eV per cell
- Crystal system: trigonal
- Excess energy over the best structure of this formula in the dataset: 5.1 meV/atom
- Formation energy: 63 meV per atom

abc: 12.0153 12.0153 12.0153
angles: 17.68 17.68 17.68
With the nearest neighbours (Å) after each atom.
Element x y z (fractional)
Ac  0.0000  0.0000  0.0000  6 Ac 3.69, 6 Dy 3.74-3.76
Dy  0.5792  0.5792  0.5792  3 Y 3.55, 6 Dy 3.69, 3 Ac 3.76
Dy  0.7533  0.7533  0.7533  3 Y 3.53, 6 Dy 3.69, 3 Ac 3.74
Y  0.1659  0.1659  0.1659  6 Dy 3.53-3.55, 6 Y 3.69

Among the records above, which one has the highest total magnetic moment? MnFeP2Cl